# 1
This record from Alexandria via LeMat-Bulk describes an optimized crystal structure of PmCd2InAu4. The functional is PBE.

Geometry as CIF:
```
data_PmCd2InAu4
_chemical_formula_sum 'Pm3 Cd6 In3 Au12'
_symmetry_space_group_name_H-M 'R -3 m'
_symmetry_Int_Tables_number 166
_symmetry_space_group_name_Hall '-R 3 2"'
_cell_length_a 4.7940
_cell_length_b 4.7940
_cell_length_c 26.0298
_cell_angle_alpha 90.00
_cell_angle_beta 90.00
_cell_angle_gamma 120.00
loop_
_atom_site_label
_atom_site_type_symbol
_atom_site_fract_x
_atom_site_fract_y
_atom_site_fract_z
_atom_site_occupancy
Pm1 Pm 0.0000 0.0000 0.0000 1
Cd1 Cd 0.0000 0.0000 0.2497 1
In1 In 0.0000 0.0000 0.5000 1
Au1 Au 0.0000 0.0000 0.1240 1
Au2 Au 0.0000 0.0000 0.3871 1
```

Properties
E_form ... -394 meV per atom
DOS(E_F) ... 3.7 states/eV/f.u.
Spin magnetization ... 0.000 μB per cell


# 2
This record from Alexandria via LeMat-Bulk describes an optimized crystal structure of Ce2Cu3Pt. The functional is PBE.

Geometry as CIF:
```
data_Ce2Cu3Pt
_chemical_formula_sum 'Ce2 Cu3 Pt1'
_symmetry_space_group_name_H-M 'P m m 2'
_symmetry_Int_Tables_number 25
_symmetry_space_group_name_Hall 'P 2 -2'
_cell_length_a 3.5225
_cell_length_b 4.3783
_cell_length_c 7.6098
_cell_angle_alpha 90.00
_cell_angle_beta 90.00
_cell_angle_gamma 90.00
loop_
_atom_site_label
_atom_site_type_symbol
_atom_site_fract_x
_atom_site_fract_y
_atom_site_fract_z
_atom_site_occupancy
Ce1 Ce 0.0000 0.0000 0.0000 1
Ce2 Ce 0.0000 0.5000 0.4839 1
Cu1 Cu 0.5000 0.0000 0.6712 1
Cu2 Cu 0.5000 0.5000 0.1451 1
Cu3 Cu 0.5000 0.5000 0.8223 1
Pt1 Pt 0.5000 0.0000 0.3292 1
```

Properties
E_form ... -415 meV per atom
DOS(E_F) ... 11.1 states/eV/f.u.
Spin magnetization ... 1.059 μB per cell


# 3
This record from Alexandria via LeMat-Bulk describes an optimized crystal structure of ZrRu5. The functional is PBE.

Geometry as CIF:
```
data_ZrRu5
_chemical_formula_sum 'Zr1 Ru5'
_symmetry_space_group_name_H-M 'P 4/m m m'
_symmetry_Int_Tables_number 123
_symmetry_space_group_name_Hall '-P 4 2'
_cell_length_a 2.7819
_cell_length_b 2.7819
_cell_length_c 11.7563
_cell_angle_alpha 90.00
_cell_angle_beta 90.00
_cell_angle_gamma 90.00
loop_
_atom_site_label
_atom_site_type_symbol
_atom_site_fract_x
_atom_site_fract_y
_atom_site_fract_z
_atom_site_occupancy
Zr1 Zr 0.0000 0.0000 0.0000 1
Ru1 Ru 0.0000 0.0000 0.3380 1
Ru2 Ru 0.5000 0.5000 0.1899 1
Ru3 Ru 0.5000 0.5000 0.5000 1
```

Properties
E_form ... 68 meV per atom
DOS(E_F) ... 7.0 states/eV/f.u.
Spin magnetization ... 0.000 μB per cell